# Os2WAu

Crystalline Os2WAu at its relaxed geometry (GGA-PBEsol, the Alexandria database).

a b c (Å): 2.7554 2.7554 9.3093
angles (deg): 81.49 81.49 60.00
With the nearest neighbours (Å) after each atom.
Sites, in units of the cell vectors:
Au1 0.2507 0.2507 0.2478  6 Au 2.76, 3 Os 2.87, 3 W 2.89
Os1 0.0044 0.0044 0.9868  9 Os 2.66-2.76, 3 Au 2.87
Os2 0.7483 0.7483 0.7550  9 Os 2.66-2.76, 3 W 2.75
W1 0.4966 0.4966 0.5103  3 Os 2.75, 6 W 2.76, 3 Au 2.89

Properties
E above lowest polymorph: 19.5 meV per atom
Volume: 15.08 A^3/atom
VASP energy: -10.2445 eV/atom
Calculated formation energy: 0.296 eV per atom